Ca2EuCl: optimized geometry, PBE-GGA.

a = 3.8516 Å, b = 3.8516 Å, c = 10.7591 Å
α = 79.69°, β = 79.69°, γ = 60.00°
Closest atoms and distances in Å follow each position.
Element x y z (fractional)
1 Cl 0.0000 0.0000 0.0000  6 Ca 3.07
2 Ca 0.2663 0.2663 0.2012  3 Cl 3.07
3 Ca 0.7337 0.7337 0.7988  3 Cl 3.07
4 Eu 0.5000 0.5000 0.5000  6 Eu 3.85, 6 Ca 3.85

Calculated total energy, eV per atom: -4.832
Calculated density, g/cm3: 3.285

---

CaEu2Cl: optimized geometry, PBE-GGA.

a = 3.9564 Å, b = 3.9564 Å, c = 10.8892 Å
α = 79.53°, β = 79.53°, γ = 60.00°
Closest atoms and distances in Å follow each position.
Element x y z (fractional)
1 Ca 0.5000 0.5000 0.5000  6 Eu 3.93, 6 Ca 3.96
2 Eu 0.2669 0.2669 0.1993  3 Cl 3.12
3 Eu 0.7331 0.7331 0.8007  3 Cl 3.12
4 Cl 0.0000 0.0000 0.0000  6 Eu 3.12

Calculated total energy, eV per atom: -6.902
Calculated density, g/cm3: 4.366

---

CaEuCl: optimized geometry, PBE-GGA.

a = 3.9065 Å, b = 3.9065 Å, c = 7.3190 Å
α = 90.00°, β = 90.00°, γ = 120.00°
Closest atoms and distances in Å follow each position.
Element x y z (fractional)
1 Ca 0.6667 0.3333 0.3830  3 Cl 3.04
2 Eu 0.0000 0.0000 0.9563  3 Cl 3.13
3 Cl 0.3333 0.6667 0.6606  3 Ca 3.04, 3 Eu 3.13

Calculated total energy, eV per atom: -5.787
Calculated density, g/cm3: 3.905

---

CaCl2F: optimized geometry, PBE-GGA.

a = 3.9296 Å, b = 3.9296 Å, c = 10.6796 Å
α = 79.40°, β = 79.40°, γ = 90.00°
Closest atoms and distances in Å follow each position.
Element x y z (fractional)
1 Ca 0.7500 0.2500 0.5000  4 F 2.78, 4 Cl 2.92
2 F 0.2500 0.7500 0.5000  4 Ca 2.78, 4 Cl 2.93
3 Ca 0.0000 0.0000 0.0000  4 F 2.78, 4 Cl 2.92
4 F 0.5000 0.5000 0.0000  4 Ca 2.78, 4 Cl 2.93
5 Cl 0.8750 0.8787 0.7500  4 Cl 2.76-2.80, 2 Ca 2.92, 2 F 2.93
6 Cl 0.1213 0.6250 0.2500  4 Cl 2.76-2.80, 2 Ca 2.92, 2 F 2.93
7 Cl 0.3750 0.3713 0.7500  4 Cl 2.76-2.80, 2 Ca 2.92, 2 F 2.93
8 Cl 0.6287 0.1250 0.2500  4 Cl 2.76-2.80, 2 Ca 2.92, 2 F 2.93

Calculated total energy, eV per atom: -3.617
Calculated density, g/cm3: 2.711
Energy relative to the lowest polymorph listed for this composition, eV per atom: 0.000

---

Energy relative to the elements, uncorrected across the listed records, respectively: -77, -77, -104, -166 kJ/mol of atoms.